A plane-wave DFT calculation with GGA-PBE was carried out for a relaxed SbRh2Cl crystal.

Lattice parameters (Å, degrees): 4.897 4.897 13.999 90.00 90.00 90.00
Space group I-42d (No. 122)
Symmetry-distinct sites (fractional):
Sb 0.000 0.000 0.000 [4 per cell]
Rh 0.193 0.250 0.625 [8 per cell]
Cl 0.000 0.000 0.500 [4 per cell]

Energy relative to the elements, uncorrected ... 0.153 eV per atom
Density ... 7.2 g/cm³

A plane-wave DFT calculation with GGA-PBE was carried out for a relaxed SbRhCl2 crystal.

Lattice parameters (Å, degrees): 3.159 4.541 5.411 90.00 90.00 90.00
Space group Pmmm (No. 47)
Symmetry-distinct sites (fractional):
Sb 0.000 0.000 0.000 [1 per cell]
Rh 0.500 0.000 0.500 [1 per cell]
Cl 0.000 0.500 0.500 [1 per cell]
Cl 0.500 0.500 0.000 [1 per cell]

Energy relative to the elements, uncorrected ... 0.150 eV per atom
Density ... 6.3 g/cm³

A plane-wave DFT calculation with GGA-PBE was carried out for a relaxed SbRhCl2 crystal.

Lattice parameters (Å, degrees): 3.715 3.715 7.294 90.00 90.00 90.00
Space group P4mm (No. 99)
Symmetry-distinct sites (fractional):
Sb 0.000 0.000 0.000 [1 per cell]
Rh 0.500 0.500 0.892 [1 per cell]
Cl 0.000 0.000 0.652 [1 per cell]
Cl 0.500 0.500 0.231 [1 per cell]

Energy relative to the elements, uncorrected ... -0.232 eV per atom
Density ... 4.9 g/cm³

A plane-wave DFT calculation with GGA-PBE was carried out for a relaxed SbRhCl2 crystal.

Lattice parameters (Å, degrees): 3.594 3.826 7.410 90.00 102.40 90.00
Space group Pm (No. 6)
Symmetry-distinct sites (fractional):
Sb 0.000 0.000 0.000 [1 per cell]
Rh 0.450 0.500 0.886 [1 per cell]
Cl 0.348 0.000 0.656 [1 per cell]
Cl 0.601 0.500 0.230 [1 per cell]

Energy relative to the elements, uncorrected ... -0.281 eV per atom
Density ... 4.9 g/cm³

A plane-wave DFT calculation with GGA-PBE was carried out for a relaxed SbRh2Cl crystal.

Lattice parameters (Å, degrees): 3.182 4.667 4.815 90.00 92.21 90.00
Space group Pm (No. 6)
Symmetry-distinct sites (fractional):
Sb 0.000 0.000 0.000 [1 per cell]
Rh 0.476 0.500 0.084 [1 per cell]
Rh 0.531 0.000 0.447 [1 per cell]
Cl 0.553 0.500 0.577 [1 per cell]

Energy relative to the elements, uncorrected ... -0.049 eV per atom
Density ... 8.4 g/cm³

A plane-wave DFT calculation with GGA-PBE was carried out for a relaxed SbRhCl2 crystal.

Lattice parameters (Å, degrees): 9.306 9.306 5.072 90.00 90.00 90.00
Space group I-42d (No. 122)
Symmetry-distinct sites (fractional):
Sb 0.000 0.000 0.000 [4 per cell]
Rh 0.000 0.000 0.500 [4 per cell]
Cl 0.078 0.750 0.625 [8 per cell]

Energy relative to the elements, uncorrected ... -0.037 eV per atom
Density ... 4.5 g/cm³